Entry 1:
Pu3Tl4GaS8: relaxed, PBE.

The structure in POSCAR format:
```
Pu3Tl4GaS8
1.0
4.030 2.326 7.406
-4.030 2.326 7.406
0.000 -4.653 7.406
Pu Tl Ga S
3 4 1 8
Cartesian
-2.015 -1.163 7.406 Pu
-2.015 1.163 14.812 Pu
0.000 2.326 7.406 Pu
-4.030 0.000 11.109 Tl
-2.015 1.163 3.703 Tl
2.015 1.163 3.703 Tl
0.000 0.000 11.109 Tl
0.000 0.000 0.000 Ga
0.000 -2.412 8.798 S
-2.089 1.206 8.798 S
-2.089 -1.206 13.421 S
0.000 0.000 5.960 S
0.000 0.000 16.258 S
2.089 1.206 8.798 S
2.089 -1.206 13.421 S
0.000 2.412 13.421 S
```

Output
density: 7477 kg/m3
formation energy without anion corrections: -0.992 eV/atom
SG: R-3m, No. 166
total energy: -0.479 Ry per atom

=====

Entry 2:
Sm2BeB2Ru5: relaxed, PBE.

The structure in POSCAR format:
```
Sm2BeB2Ru5
1.0
9.511 0.000 0.000
0.000 9.511 0.000
0.000 0.000 3.120
Sm Be B Ru
4 2 4 10
Cartesian
1.670 3.086 0.000 Sm
3.086 7.841 0.000 Sm
6.425 1.670 0.000 Sm
7.841 6.425 0.000 Sm
0.000 0.000 0.000 Be
4.756 4.756 0.000 Be
1.191 5.947 0.000 B
3.564 1.191 0.000 B
5.947 8.320 0.000 B
8.320 3.564 0.000 B
0.000 4.756 1.560 Ru
0.646 7.513 1.560 Ru
1.998 0.646 1.560 Ru
2.758 5.402 1.560 Ru
4.109 2.758 1.560 Ru
4.756 0.000 1.560 Ru
5.402 6.753 1.560 Ru
6.753 4.109 1.560 Ru
7.513 8.865 1.560 Ru
8.865 1.998 1.560 Ru
```

Output
energy of formation: -22 kJ/mol of atoms
density: 9846 kg/m3
SG: P4/mbm, No. 127
total energy: -0.552 Ry per atom

=====

Entry 3:
LaBe2Se: relaxed, PBE.

The structure in POSCAR format:
```
LaBe2Se
1.0
-1.696 2.459 4.659
1.696 -2.459 4.659
1.696 2.459 -4.659
La Be Se
1 2 1
Cartesian
0.000 0.000 0.000 La
1.696 0.000 2.711 Be
0.000 2.459 1.949 Be
0.000 0.000 4.659 Se
```

Output
density: 5039 kg/m3
formation energy without anion corrections: 0.037 eV/atom
SG: Immm, No. 71
total energy: -0.289 Ry per atom

=====

Entry 4:
Ga2BiRu2: relaxed, PBE.

The structure in POSCAR format:
```
Ga2BiRu2
1.0
7.515 0.000 0.000
0.000 7.515 0.000
0.000 0.000 3.077
Ga Bi Ru
4 2 4
Cartesian
0.963 2.795 0.000 Ga
2.795 6.552 0.000 Ga
4.721 0.963 0.000 Ga
6.552 4.721 0.000 Ga
0.000 0.000 0.000 Bi
3.758 3.758 0.000 Bi
1.212 4.970 1.538 Ru
2.545 1.212 1.538 Ru
4.970 6.303 1.538 Ru
6.303 2.545 1.538 Ru
```

Output
energy of formation: 9 kJ/mol of atoms
density: 10523 kg/m3
E above lowest polymorph: 0.058 eV per atom
SG: P4/mbm, No. 127
total energy: -0.412 Ry per atom

=====

Entry 5:
RbTiZnSb3: relaxed, PBE.

The structure in POSCAR format:
```
RbTiZnSb3
1.0
9.321 0.000 0.000
0.000 4.104 0.000
-2.488 0.000 9.362
Rb Ti Zn Sb
2 2 2 6
Cartesian
1.077 1.026 4.141 Rb
5.755 3.078 5.221 Rb
1.017 1.026 9.097 Ti
5.815 3.078 0.266 Ti
-1.445 3.078 9.306 Zn
8.277 1.026 0.056 Zn
-1.416 1.026 7.539 Sb
1.364 3.078 7.235 Sb
3.050 3.078 1.776 Sb
3.782 1.026 7.586 Sb
5.469 1.026 2.127 Sb
8.249 3.078 1.823 Sb
```

Output
density: 5231 kg/m3
formation energy without anion corrections: -0.289 eV/atom
SG: P2_1/m, No. 11
total energy: -0.297 Ry per atom

=====

Entry 6:
CsIn2Br: relaxed, PBE.

The structure in POSCAR format:
```
CsIn2Br
1.0
0.000 4.258 4.258
4.258 0.000 4.258
4.258 4.258 0.000
Cs In Br
1 2 1
Cartesian
0.000 0.000 0.000 Cs
2.129 2.129 2.129 In
6.388 6.388 6.388 In
4.258 4.258 4.258 Br
```

Output
density: 4757 kg/m3
E above lowest polymorph: 0.407 eV per atom
formation energy without anion corrections: -0.066 eV/atom
SG: Fm-3m, No. 225
total energy: -0.152 Ry per atom

=====

Entry 7:
TiReNi: relaxed, PBE.

The structure in POSCAR format:
```
TiReNi
1.0
0.000 1.961 6.036
1.765 0.000 6.036
1.765 1.961 0.000
Ti Re Ni
1 1 1
Cartesian
0.000 0.000 0.000 Ti
1.765 1.961 3.823 Re
1.765 1.961 7.984 Ni
```

Output
energy of formation: -15 kJ/mol of atoms
density: 11630 kg/m3
E above lowest polymorph: 0.086 eV per atom
SG: Fmm2, No. 42
total energy: -0.651 Ry per atom

=====

Entry 8:
FeIN3: relaxed, PBE.

The structure in POSCAR format:
```
FeIN3
1.0
3.943 0.000 0.000
0.000 3.943 0.000
0.000 0.000 3.943
Fe I N
1 1 3
Cartesian
0.000 0.000 0.000 Fe
1.972 1.972 1.972 I
0.000 1.972 1.972 N
1.972 0.000 1.972 N
1.972 1.972 0.000 N
```

Output
density: 6087 kg/m3
formation energy without anion corrections: 2.367 eV/atom
SG: Pm-3m, No. 221
total energy: -0.340 Ry per atom

=====

Among the records above, which one has the highest density? TiReNi

=====

What did the fifth record say?
RbTiZnSb3: relaxed, PBE.

The structure in POSCAR format:
```
RbTiZnSb3
1.0
9.321 0.000 0.000
0.000 4.104 0.000
-2.488 0.000 9.362
Rb Ti Zn Sb
2 2 2 6
Cartesian
1.077 1.026 4.141 Rb
5.755 3.078 5.221 Rb
1.017 1.026 9.097 Ti
5.815 3.078 0.266 Ti
-1.445 3.078 9.306 Zn
8.277 1.026 0.056 Zn
-1.416 1.026 7.539 Sb
1.364 3.078 7.235 Sb
3.050 3.078 1.776 Sb
3.782 1.026 7.586 Sb
5.469 1.026 2.127 Sb
8.249 3.078 1.823 Sb
```

Output
density: 5231 kg/m3
formation energy without anion corrections: -0.289 eV/atom
SG: P2_1/m, No. 11
total energy: -0.297 Ry per atom

=====

What is the formula in the seventh record? TiReNi

=====

density of number 1 (Pu3Tl4GaS8)? 7477 kg/m3